1.
## Rb2Al2Au (meta-GGA SCAN)

Data for a crystal of Rb2Al2Au relaxed with PBEsol.

Geometry as POSCAR:
```
Rb2Al2Au
1.0
10.724 0.000 0.000
0.000 10.724 0.000
0.000 0.000 2.973
Rb Al Au
4 4 2
direct
0.207 0.293 0.000
0.293 0.793 0.000
0.707 0.207 0.000
0.793 0.707 0.000
0.083 0.583 0.500
0.417 0.083 0.500
0.583 0.917 0.500
0.917 0.417 0.500
0.000 0.000 0.000
0.500 0.500 0.000
```

* electronic total energy: -24.7377 eV/atom
* E above lowest polymorph: 441.5 meV per atom
* total moment: 0.00 μB/atom
* symmetry: P4/mbm (127)

---

2.
## KAg2P2 (meta-GGA SCAN)

Data for a crystal of KAg2P2 relaxed with PBEsol.

Geometry as POSCAR:
```
KAg2P2
1.0
-2.188 2.188 5.012
2.188 -2.188 5.012
2.188 2.188 -5.012
K Ag P
1 2 2
direct
0.000 0.000 0.000
0.250 0.750 0.500
0.750 0.250 0.500
0.391 0.391 0.000
0.609 0.609 0.000
```

* electronic total energy: -18.5753 eV/atom
* total moment: 0.00 μB/atom
* symmetry: I4/mmm (139)